(1)
# CrSb2Pt

Crystalline CrSb2Pt at its relaxed geometry (PBE-GGA, Alexandria via LeMat-Bulk).

```
data_CrSb2Pt
_chemical_formula_sum 'Cr4 Sb8 Pt4'
_cell_length_a 6.868
_cell_length_b 6.868
_cell_length_c 6.868
_cell_angle_alpha 90.00
_cell_angle_beta 90.00
_cell_angle_gamma 90.00
_space_group_name_H-M_alt 'F m -3 m'
_space_group_IT_number 225
_space_group_name_Hall '-F 4 2 3'
loop_
_atom_site_label
_atom_site_fract_x
_atom_site_fract_y
_atom_site_fract_z
_atom_site_occupancy
Cr1 0.000 0.000 0.000 1
Sb1 0.250 0.250 0.250 1
Pt1 0.000 0.000 0.500 1
```

Results
Total magnetic moment ... 4.1 μB per formula unit
Formation energy from raw total energies ... 0.18 eV per atom
Crystal system ... cubic

(2)
# V2FeMoAu

Crystalline V2FeMoAu at its relaxed geometry (PBE-GGA, Alexandria via LeMat-Bulk).

```
data_V2FeMoAu
_chemical_formula_sum 'V2 Fe1 Mo1 Au1'
_cell_length_a 4.447
_cell_length_b 4.447
_cell_length_c 5.089
_cell_angle_alpha 90.00
_cell_angle_beta 90.00
_cell_angle_gamma 90.00
_space_group_name_H-M_alt 'P 4/m m m'
_space_group_IT_number 123
_space_group_name_Hall '-P 4 2'
loop_
_atom_site_label
_atom_site_fract_x
_atom_site_fract_y
_atom_site_fract_z
_atom_site_occupancy
V1 0.000 0.500 0.000 1
Fe1 0.000 0.000 0.500 1
Mo1 0.500 0.500 0.000 1
Au1 0.500 0.500 0.500 1
```

Results
Total energy ... -6.696 eV per atom
Total magnetic moment ... 1.9 μB per formula unit
Crystal system ... tetragonal

(3)
# Cr2ReRu

Crystalline Cr2ReRu at its relaxed geometry (PBE-GGA, Alexandria via LeMat-Bulk).

```
data_Cr2ReRu
_chemical_formula_sum 'Cr4 Re2 Ru2'
_cell_length_a 5.223
_cell_length_b 8.318
_cell_length_c 2.623
_cell_angle_alpha 90.00
_cell_angle_beta 110.64
_cell_angle_gamma 90.00
_space_group_name_H-M_alt 'C 1 2/m 1'
_space_group_IT_number 12
loop_
_space_group_symop_operation_xyz
'x,y,z'
'-x,-y,-z'
'-x,y,-z'
'x,-y,z'
'x+1/2,y+1/2,z'
'-x+1/2,-y+1/2,-z'
'-x+1/2,y+1/2,-z'
'x+1/2,-y+1/2,z'
loop_
_atom_site_label
_atom_site_fract_x
_atom_site_fract_y
_atom_site_fract_z
_atom_site_occupancy
Cr1 0.250 0.250 0.000 1
Re1 0.000 0.000 0.500 1
Ru1 0.000 0.500 0.500 1
```

Results
Total energy ... -10.033 eV per atom
Total magnetic moment ... 0.0 μB per formula unit
Crystal system ... monoclinic

(4)
# CsCdAgF4

Crystalline CsCdAgF4 at its relaxed geometry (PBE-GGA, Alexandria via LeMat-Bulk).

```
data_CsCdAgF4
_chemical_formula_sum 'Cs2 Cd2 Ag2 F8'
_cell_length_a 6.641
_cell_length_b 6.146
_cell_length_c 8.002
_cell_angle_alpha 90.00
_cell_angle_beta 105.24
_cell_angle_gamma 90.00
_space_group_name_H-M_alt 'P 1 21/m 1'
_space_group_IT_number 11
loop_
_space_group_symop_operation_xyz
'x,y,z'
'-x,-y,-z'
'-x,y+1/2,-z'
'x,-y+1/2,z'
loop_
_atom_site_label
_atom_site_fract_x
_atom_site_fract_y
_atom_site_fract_z
_atom_site_occupancy
Cs1 0.248 0.250 0.466 1
Cd1 0.201 0.750 0.147 1
Ag1 0.367 0.250 0.973 1
F1 0.056 0.250 0.078 1
F2 0.102 0.750 0.379 1
F3 0.465 0.520 0.202 1
```

Results
Total magnetic moment ... 0.0 μB per formula unit
Formation energy from raw total energies ... -1.92 eV per atom
Crystal system ... monoclinic

(5)
# KNa3Ce2Se6

Crystalline KNa3Ce2Se6 at its relaxed geometry (PBE-GGA, Alexandria via LeMat-Bulk).

```
data_KNa3Ce2Se6
_chemical_formula_sum 'K2 Na6 Ce4 Se12'
_cell_length_a 18.455
_cell_length_b 4.310
_cell_length_c 8.737
_cell_angle_alpha 90.00
_cell_angle_beta 101.53
_cell_angle_gamma 90.00
_space_group_name_H-M_alt 'C 1 2/m 1'
_space_group_IT_number 12
loop_
_space_group_symop_operation_xyz
'x,y,z'
'-x,-y,-z'
'-x,y,-z'
'x,-y,z'
'x+1/2,y+1/2,z'
'-x+1/2,-y+1/2,-z'
'-x+1/2,y+1/2,-z'
'x+1/2,-y+1/2,z'
loop_
_atom_site_label
_atom_site_fract_x
_atom_site_fract_y
_atom_site_fract_z
_atom_site_occupancy
K1 0.000 0.000 0.000 1
Na1 0.000 0.000 0.500 1
Na2 0.157 0.500 0.832 1
Ce1 0.164 0.500 0.330 1
Se1 0.013 0.500 0.276 1
Se2 0.174 0.000 0.565 1
Se3 0.178 0.000 0.118 1
```

Results
Total magnetic moment ... 0.0 μB per formula unit
Formation energy from raw total energies ... -1.42 eV per atom
Crystal system ... monoclinic

(6)
# TiPb2NCl

Crystalline TiPb2NCl at its relaxed geometry (PBE-GGA, Alexandria via LeMat-Bulk).

```
data_TiPb2NCl
_chemical_formula_sum 'Ti1 Pb2 N1 Cl1'
_cell_length_a 5.615
_cell_length_b 5.615
_cell_length_c 3.874
_cell_angle_alpha 90.00
_cell_angle_beta 90.00
_cell_angle_gamma 90.00
_space_group_name_H-M_alt 'P 4/m m m'
_space_group_IT_number 123
_space_group_name_Hall '-P 4 2'
loop_
_atom_site_label
_atom_site_fract_x
_atom_site_fract_y
_atom_site_fract_z
_atom_site_occupancy
Ti1 0.000 0.000 0.000 1
Pb1 0.000 0.500 0.000 1
N1 0.000 0.000 0.500 1
Cl1 0.500 0.500 0.500 1
```

Results
Total magnetic moment ... 0.0 μB per formula unit
Formation energy from raw total energies ... -0.04 eV per atom
Crystal system ... tetragonal

- Look up the total magnetic moment of the sixth one.
  0.0 μB per formula unit

Copy entry 5 word for word.
# KNa3Ce2Se6

Crystalline KNa3Ce2Se6 at its relaxed geometry (PBE-GGA, Alexandria via LeMat-Bulk).

```
data_KNa3Ce2Se6
_chemical_formula_sum 'K2 Na6 Ce4 Se12'
_cell_length_a 18.455
_cell_length_b 4.310
_cell_length_c 8.737
_cell_angle_alpha 90.00
_cell_angle_beta 101.53
_cell_angle_gamma 90.00
_space_group_name_H-M_alt 'C 1 2/m 1'
_space_group_IT_number 12
loop_
_space_group_symop_operation_xyz
'x,y,z'
'-x,-y,-z'
'-x,y,-z'
'x,-y,z'
'x+1/2,y+1/2,z'
'-x+1/2,-y+1/2,-z'
'-x+1/2,y+1/2,-z'
'x+1/2,-y+1/2,z'
loop_
_atom_site_label
_atom_site_fract_x
_atom_site_fract_y
_atom_site_fract_z
_atom_site_occupancy
K1 0.000 0.000 0.000 1
Na1 0.000 0.000 0.500 1
Na2 0.157 0.500 0.832 1
Ce1 0.164 0.500 0.330 1
Se1 0.013 0.500 0.276 1
Se2 0.174 0.000 0.565 1
Se3 0.178 0.000 0.118 1
```

Results
Total magnetic moment ... 0.0 μB per formula unit
Formation energy from raw total energies ... -1.42 eV per atom
Crystal system ... monoclinic